[1]
! Zn5I12Cl3 (PBE, optimized geometry); values from VASP
! **Total magnetic moment**: 20.895 Bohr magnetons per cell
! **Formation energy without anion corrections**: -290.5 kJ/mol of formula units
! **Space-group type**: Ia-3d (230)
&SYSTEM
  ibrav = 0, nat = 80, ntyp = 3
/
ATOMIC_SPECIES
I 126.90 I.upf
Cl 35.45 Cl.upf
Zn 65.41 Zn.upf
CELL_PARAMETERS angstrom
15.614 0.000 0.000
-5.205 14.721 0.000
-5.205 -7.360 12.749
ATOMIC_POSITIONS crystal
I 0.620 0.602 0.923
Cl 0.875 0.125 0.250
Cl 0.125 0.250 0.875
Zn 0.500 0.000 0.500
Zn 0.875 0.625 0.750
I 0.679 0.481 0.602
I 0.077 0.898 0.380
Zn 0.625 0.875 0.250
I 0.481 0.679 0.102
Zn 0.000 0.500 0.500
Zn 0.125 0.750 0.375
Zn 0.500 0.500 0.000
I 0.321 0.803 0.423
Zn 0.000 0.000 0.000
I 0.019 0.620 0.697
I 0.697 0.120 0.019
I 0.120 0.423 0.102
I 0.602 0.620 0.423
I 0.102 0.179 0.481
I 0.179 0.102 0.981
I 0.519 0.321 0.898
I 0.398 0.380 0.577
I 0.577 0.697 0.679
Zn 0.250 0.875 0.125
I 0.398 0.019 0.321
I 0.197 0.679 0.077
Cl 0.375 0.625 0.250
Zn 0.500 0.000 0.000
I 0.577 0.880 0.398
Zn 0.500 0.500 0.500
I 0.102 0.923 0.120
Zn 0.375 0.125 0.750
Zn 0.750 0.625 0.375
Zn 0.875 0.250 0.625
I 0.120 0.697 0.519
Cl 0.750 0.875 0.625
I 0.481 0.803 0.880
I 0.380 0.981 0.803
I 0.898 0.077 0.880
I 0.077 0.179 0.197
Zn 0.250 0.375 0.625
I 0.303 0.880 0.981
I 0.981 0.380 0.303
Zn 0.750 0.125 0.875
I 0.620 0.019 0.197
Cl 0.625 0.250 0.375
I 0.697 0.577 0.179
Zn 0.125 0.375 0.250
Zn 0.000 0.000 0.500
I 0.803 0.321 0.923
I 0.821 0.923 0.303
I 0.923 0.821 0.803
I 0.303 0.423 0.821
I 0.898 0.821 0.519
I 0.423 0.120 0.602
Zn 0.375 0.250 0.125
Cl 0.250 0.625 0.875
Cl 0.125 0.875 0.750
Cl 0.875 0.750 0.125
I 0.679 0.197 0.577
Cl 0.375 0.750 0.625
I 0.519 0.197 0.120
I 0.197 0.519 0.620
I 0.923 0.102 0.620
I 0.981 0.602 0.179
Zn 0.000 0.500 0.000
I 0.179 0.077 0.697
I 0.423 0.303 0.321
I 0.880 0.303 0.481
I 0.602 0.981 0.679
I 0.321 0.519 0.398
I 0.019 0.398 0.821
I 0.821 0.898 0.019
Cl 0.750 0.375 0.125
Zn 0.625 0.750 0.875
I 0.380 0.398 0.077
I 0.803 0.481 0.380
Cl 0.625 0.375 0.750
Cl 0.250 0.125 0.375
I 0.880 0.577 0.898

=====

[2]
! Zn2ICl (PBE, optimized geometry); values from VASP
! **Energy relative to the lowest polymorph listed for this composition**: 22.3 meV/atom
! **Total magnetic moment**: 0.000 Bohr magnetons per cell
! **Formation energy without anion corrections**: -206.2 kJ/mol of formula units
! **Space-group type**: P-1 (2)
&SYSTEM
  ibrav = 0, nat = 8, ntyp = 3
/
ATOMIC_SPECIES
Cl 35.45 Cl.upf
Zn 65.41 Zn.upf
I 126.90 I.upf
CELL_PARAMETERS angstrom
5.925 0.000 0.000
2.557 6.076 0.000
2.151 1.658 7.216
ATOMIC_POSITIONS crystal
Cl 0.194 0.269 0.634
Cl 0.806 0.731 0.366
Zn 0.726 0.523 0.690
Zn 0.541 0.696 0.191
Zn 0.459 0.304 0.809
I 0.803 0.813 0.843
I 0.197 0.187 0.157
Zn 0.274 0.477 0.310

=====

[3]
! Zr3I4Cl2 (PBE, optimized geometry); values from VASP
! **Total magnetic moment**: 0.000 Bohr magnetons per cell
! **Formation energy without anion corrections**: -922.3 kJ/mol of formula units
! **Space-group type**: P3m1 (156)
&SYSTEM
  ibrav = 0, nat = 9, ntyp = 3
/
ATOMIC_SPECIES
I 126.90 I.upf
Cl 35.45 Cl.upf
Zr 91.22 Zr.upf
CELL_PARAMETERS angstrom
3.699 0.000 0.000
-1.850 3.204 0.000
0.000 0.000 24.203
ATOMIC_POSITIONS crystal
I 0.000 0.000 0.743
Cl 0.667 0.333 0.909
Cl 0.667 0.333 0.042
Zr 0.000 0.000 0.976
I 0.667 0.333 0.240
I 0.000 0.000 0.578
I 0.667 0.333 0.405
Zr 0.000 0.000 0.323
Zr 0.667 0.333 0.661

=====

[4]
! ZrICl3 (PBE, optimized geometry); values from VASP
! **Energy relative to the lowest polymorph listed for this composition**: 0.0 meV/atom
! **Total magnetic moment**: 0.000 Bohr magnetons per cell
! **Formation energy without anion corrections**: -718.6 kJ/mol of formula units
! **Space-group type**: Pnma (62)
&SYSTEM
  ibrav = 0, nat = 20, ntyp = 3
/
ATOMIC_SPECIES
I 126.90 I.upf
Cl 35.45 Cl.upf
Zr 91.22 Zr.upf
CELL_PARAMETERS angstrom
6.869 0.000 0.000
0.000 7.911 0.000
0.000 0.000 13.834
ATOMIC_POSITIONS crystal
I 0.267 0.250 0.108
Cl 0.767 0.494 0.629
Cl 0.318 0.750 0.078
Cl 0.733 0.994 0.129
I 0.233 0.750 0.608
Zr 0.500 0.500 0.000
Zr 0.500 0.000 0.000
Cl 0.267 0.494 0.871
Zr 0.000 0.000 0.500
Cl 0.233 0.506 0.371
Cl 0.233 0.994 0.371
Cl 0.182 0.250 0.578
Cl 0.682 0.250 0.922
Cl 0.267 0.006 0.871
Cl 0.733 0.506 0.129
I 0.733 0.750 0.892
Zr 0.000 0.500 0.500
Cl 0.818 0.750 0.422
Cl 0.767 0.006 0.629
I 0.767 0.250 0.392

=====

[5]
! ZrICl3 (PBE, optimized geometry); values from VASP
! **Energy relative to the lowest polymorph listed for this composition**: 2104.9 meV/atom
! **Total magnetic moment**: 2.650 Bohr magnetons per cell
! **Formation energy without anion corrections**: 296.8 kJ/mol of formula units
! **Space-group type**: Pm-3m (221)
&SYSTEM
  ibrav = 0, nat = 5, ntyp = 3
/
ATOMIC_SPECIES
Cl 35.45 Cl.upf
I 126.90 I.upf
Zr 91.22 Zr.upf
CELL_PARAMETERS angstrom
-4.523 -2.484 -2.225
3.330 -3.563 -2.791
-0.177 -3.565 4.340
ATOMIC_POSITIONS crystal
Cl 0.500 0.000 0.000
Cl 0.000 0.500 0.000
I 0.000 0.000 0.000
Cl 0.000 0.000 0.500
Zr 0.500 0.500 0.500

=====

[6]
! Zr2I4Cl (PBE, optimized geometry); values from VASP
! **Total magnetic moment**: 2.071 Bohr magnetons per cell
! **Formation energy without anion corrections**: -609.4 kJ/mol of formula units
! **Space-group type**: P1 (1)
&SYSTEM
  ibrav = 0, nat = 14, ntyp = 3
/
ATOMIC_SPECIES
Zr 91.22 Zr.upf
I 126.90 I.upf
Cl 35.45 Cl.upf
CELL_PARAMETERS angstrom
-4.309 0.604 6.269
-2.333 -7.216 0.855
11.132 1.441 1.998
ATOMIC_POSITIONS crystal
Zr 0.195 0.364 0.872
I 0.279 0.694 0.132
I 0.398 0.312 0.369
I 0.813 0.566 0.825
Zr 0.492 0.323 0.128
Cl 0.168 0.168 0.000
Zr 0.614 0.945 0.372
Zr 0.572 0.242 0.628
I 0.943 0.029 0.632
I 0.742 0.988 0.175
I 0.238 0.493 0.676
I 0.562 0.146 0.868
Cl 0.418 0.917 0.500
I 0.817 0.563 0.324